# 1
First-principles (GGA-PBE) data for a geometry-optimized Ba2LiNi structure, as listed in the Alexandria database.

The energy relative to the elements is 0.320 eV per atom.

The space group is P4mm (No. 99) and the conventional cell measures 4.4187, 4.4187 and 7.1047 Å, with angles of 90.00, 90.00 and 90.00 degrees. The distinct sites, in fractional coordinates, are Ba at (0.0000, 0.0000, 0.0000), Ba at (0.5000, 0.5000, 0.3958), Li at (0.0000, 0.0000, 0.5836) and Ni at (0.5000, 0.5000, 0.8618).

# 2
First-principles (GGA-PBE) data for a geometry-optimized AcHoMgTl structure, as listed in the Alexandria database.

The energy relative to the elements is -0.199 eV per atom.

The space group is P4mm (No. 99) and the conventional cell measures 3.9529, 3.9529 and 7.9050 Å, with angles of 90.00, 90.00 and 90.00 degrees. The distinct sites, in fractional coordinates, are Ac at (0.0000, 0.0000, 0.0000), Ho at (0.0000, 0.0000, 0.4958), Mg at (0.5000, 0.5000, 0.2804) and Tl at (0.5000, 0.5000, 0.7099).

# 3
First-principles (GGA-PBE) data for a geometry-optimized Cs2NbCuS4 structure, as listed in the Alexandria database.

The calculation puts the formation energy without anion corrections at -1.106 eV/atom.

The space group is Fddd (No. 70, origin choice 2) and the conventional cell measures 5.6275, 14.5303 and 25.1769 Å, with angles of 90.00, 90.00 and 90.00 degrees. The distinct sites, in fractional coordinates, are Cs at (0.1250, 0.1250, 0.3004), Nb at (0.1250, 0.1250, 0.6250), Cu at (0.1250, 0.1250, 0.1250) and S at (0.1203, 0.2832, 0.8239).

Summary of electronic total energy in hartree per atom
-0.094; -0.124; -0.189
(order as listed above)
Summary of DOS(E_F) in states/eV per atom
0.8093; 1.0953; 0.0000
(order as listed above)
Summary of spin magnetization in μB/cell
0.00; 0.00; 0.00
(order as listed above)